1.
{
  "formula": "SrNpCu2S4",
  "functional": "PBE-GGA",
  "state": "optimized geometry",
  "dft_energy_ev_per_fu": -46.82,
  "raw_formation_energy_ev_per_atom": -0.94,
  "lattice_angstrom": [[-3.2441, 3.4396, 3.8326], [3.2441, -3.4396, 3.8326], [3.2441, 3.4396, -3.8326]],
  "species": ["Sr", "Np", "Cu", "Cu", "S", "S", "S", "S"],
  "fractional_positions": [[0.0000, 0.0000, 0.0000], [0.5000, 0.5000, 0.0000], [0.3231, 0.8231, 0.5000], [0.6769, 0.1769, 0.5000], [0.0800, 0.0480, 0.5415], [0.4935, 0.9520, 0.0320], [0.5065, 0.5385, 0.4585], [0.9200, 0.4615, 0.9680]]
}

***

2.
{
  "formula": "Ta2MnBe",
  "functional": "PBE-GGA",
  "state": "optimized geometry",
  "dft_energy_ev_per_fu": -34.22,
  "formation_enthalpy_0k_ev_per_atom": 0.59,
  "lattice_angstrom": [[-3.3596, 3.3596, 2.6774], [3.3596, -3.3596, 2.6774], [3.3596, 3.3596, -2.6774]],
  "species": ["Ta", "Ta", "Ta", "Ta", "Mn", "Mn", "Be", "Be"],
  "fractional_positions": [[0.1111, 0.1250, 0.4861], [0.3750, 0.8889, 0.0139], [0.6389, 0.6250, 0.5139], [0.8750, 0.3611, 0.9861], [0.0000, 0.0000, 0.0000], [0.7500, 0.2500, 0.5000], [0.2500, 0.7500, 0.5000], [0.5000, 0.5000, 0.0000]]
}